# 1
# TlTc2Mo

TlTc2Mo after structural relaxation (GGA-PBE, Alexandria).

total energy = -32.32 eV per cell
volume = 68 Å³/cell

a b c (Å): 3.1041 3.1041 7.0676
angles (deg): 90.00 90.00 90.00
Fractional positions:
Mo 0.5000 0.5000 0.7500
Tc 0.0000 0.0000 0.9646
Tc 0.0000 0.0000 0.5354
Tl 0.5000 0.5000 0.2500

=====

# 2
# Hf2AlPt4

Hf2AlPt4 after structural relaxation (GGA-PBE, Alexandria).

total energy = -49.86 eV per cell
volume = 140 Å³/cell

a b c (Å): 4.5368 4.5368 7.5383
angles (deg): 72.49 72.49 90.00
Fractional positions:
Hf 0.3662 0.3662 0.2676
Hf 0.6338 0.6338 0.7324
Al 0.0000 0.0000 0.0000
Pt 0.1814 0.1814 0.6373
Pt 0.8186 0.8186 0.3627
Pt 0.0000 0.5000 0.0000
Pt 0.5000 0.0000 0.0000

=====

# 3
# Zn6Cu12Ag

Zn6Cu12Ag after structural relaxation (GGA-PBE, Alexandria).

total energy = -56.50 eV per cell
volume = 273 Å³/cell

a b c (Å): 6.8322 6.8322 6.8322
angles (deg): 105.87 105.87 105.87
Fractional positions:
Zn 0.6983 0.2994 0.2994
Zn 0.2994 0.2994 0.6983
Zn 0.2994 0.6983 0.2994
Zn 0.7006 0.7006 0.3017
Zn 0.3017 0.7006 0.7006
Zn 0.7006 0.3017 0.7006
Cu 0.8879 0.1121 0.5000
Cu 0.8891 0.6464 0.6464
Cu 0.6464 0.6464 0.8891
Cu 0.3536 0.1109 0.3536
Cu 0.3536 0.3536 0.1109
Cu 0.1109 0.3536 0.3536
Cu 0.1121 0.5000 0.8879
Cu 0.5000 0.8879 0.1121
Cu 0.1121 0.8879 0.5000
Cu 0.8879 0.5000 0.1121
Cu 0.5000 0.1121 0.8879
Cu 0.6464 0.8891 0.6464
Ag 0.0000 0.0000 0.0000

=====

# 4
# SrNiBr

SrNiBr after structural relaxation (GGA-PBE, Alexandria).

total energy = -9.66 eV per cell
volume = 80 Å³/cell
ΔE_f (raw) = -174 meV/atom

a b c (Å): 4.8278 4.8278 4.8278
angles (deg): 60.00 60.00 60.00
Fractional positions:
Br 0.5000 0.5000 0.5000
Ni 0.7500 0.7500 0.7500
Sr 0.0000 0.0000 0.0000

=====

# 5
# PaTe2O11

PaTe2O11 after structural relaxation (GGA-PBE, Alexandria).

total energy = -170.92 eV per cell
volume = 415 Å³/cell
ΔE_f (raw) = -1082 meV/atom

a b c (Å): 7.9332 8.4364 8.0778
angles (deg): 76.85 63.59 59.04
Fractional positions:
Pa 0.7600 0.7455 0.7327
Pa 0.2381 0.2673 0.2545
Te 0.6772 0.7339 0.2661
Te 0.2649 0.2577 0.7423
Te 0.8334 0.2343 0.7657
Te 0.2349 0.7561 0.2439
O 0.6524 0.7552 0.5040
O 0.3381 0.2582 0.4851
O 0.0813 0.5149 0.7418
O 0.8670 0.9949 0.7608
O 0.9116 0.4960 0.2448
O 0.1391 0.0149 0.2240
O 0.3780 0.7760 0.9851
O 0.6227 0.2392 0.0051
O 0.5558 0.4518 0.5482
O 0.9355 0.9566 0.0434
O 0.9349 0.8344 0.1656
O 0.0655 0.1616 0.8383
O 0.5506 0.3294 0.6706
O 0.4557 0.6667 0.3333
O 0.4897 0.9937 0.2578
O 0.5095 0.0209 0.7276
O 0.2579 0.2725 0.9791
O 0.9980 0.2260 0.5072
O 0.7411 0.7422 0.0063
O 0.0064 0.7853 0.4781
O 0.2698 0.5219 0.2147
O 0.7312 0.4928 0.7740

=====

# 6
# Pr3Ga2Rh6

Pr3Ga2Rh6 after structural relaxation (GGA-PBE, Alexandria).

total energy = -143.11 eV per cell
volume = 426 Å³/cell

a b c (Å): 8.2107 8.2107 8.2107
angles (deg): 109.47 109.47 109.47
Fractional positions:
Pr 0.7120 0.0000 0.7120
Pr 0.2880 0.0000 0.2880
Pr 0.0000 0.2880 0.2880
Pr 0.0000 0.7120 0.7120
Pr 0.2880 0.2880 0.0000
Pr 0.7120 0.7120 0.0000
Ga 0.0000 0.5000 0.0000
Ga 0.5000 0.0000 0.0000
Ga 0.0000 0.0000 0.5000
Ga 0.5000 0.5000 0.5000
Rh 0.6558 0.3117 0.6558
Rh 0.6558 0.0000 0.3442
Rh 0.3442 0.0000 0.6558
Rh 0.3442 0.6883 0.3442
Rh 0.0000 0.6558 0.3442
Rh 0.6883 0.3442 0.3442
Rh 0.3117 0.6558 0.6558
Rh 0.0000 0.3442 0.6558
Rh 0.3442 0.6558 0.0000
Rh 0.6558 0.6558 0.3117
Rh 0.3442 0.3442 0.6883
Rh 0.6558 0.3442 0.0000

=====

# 7
# PPb

PPb after structural relaxation (GGA-PBE, Alexandria).

total energy = -17.18 eV per cell
volume = 98 Å³/cell

a b c (Å): 6.0001 6.0001 4.1487
angles (deg): 90.00 90.00 139.16
Fractional positions:
P 0.5507 0.4493 0.7500
P 0.4493 0.5507 0.2500
Pb 0.8436 0.1564 0.7500
Pb 0.1564 0.8436 0.2500

=====

# 8
# YHoSi2Pt5

YHoSi2Pt5 after structural relaxation (GGA-PBE, Alexandria).

total energy = -62.00 eV per cell
volume = 157 Å³/cell
ΔE_f (raw) = -1101 meV/atom

a b c (Å): 4.1816 4.1816 8.9670
angles (deg): 90.00 90.00 90.00
Fractional positions:
Y 0.0000 0.0000 0.5000
Ho 0.0000 0.0000 0.0000
Si 0.5000 0.5000 0.1306
Si 0.5000 0.5000 0.8694
Pt 0.0000 0.5000 0.2641
Pt 0.5000 0.0000 0.2641
Pt 0.0000 0.5000 0.7359
Pt 0.5000 0.0000 0.7359
Pt 0.5000 0.5000 0.5000

=====

# 9
# CaReAs2

CaReAs2 after structural relaxation (GGA-PBE, Alexandria).

total energy = -24.13 eV per cell
volume = 81 Å³/cell

a b c (Å): 4.2125 3.5970 5.3554
angles (deg): 90.02 90.00 90.00
Fractional positions:
Re 0.5000 0.7500 0.7500
As 0.0000 0.7496 0.0028
As 0.0000 0.7504 0.4972
Ca 0.5000 0.2500 0.2500

=====

# 10
# Tl2HgPd9

Tl2HgPd9 after structural relaxation (GGA-PBE, Alexandria).

total energy = -53.61 eV per cell
volume = 203 Å³/cell

a b c (Å): 4.0697 4.0697 12.2396
angles (deg): 90.00 90.00 90.00
Fractional positions:
Tl 0.0000 0.0000 0.3321
Tl 0.0000 0.0000 0.6679
Hg 0.0000 0.0000 0.0000
Pd 0.5000 0.5000 0.0000
Pd 0.5000 0.5000 0.3333
Pd 0.5000 0.5000 0.6667
Pd 0.5000 0.0000 0.1656
Pd 0.5000 0.0000 0.5000
Pd 0.5000 0.0000 0.8344
Pd 0.0000 0.5000 0.1656
Pd 0.0000 0.5000 0.5000
Pd 0.0000 0.5000 0.8344

=====

# 11
# SrDyAg2

SrDyAg2 after structural relaxation (GGA-PBE, Alexandria).

total energy = -12.95 eV per cell
volume = 106 Å³/cell

a b c (Å): 3.6721 5.3735 5.3735
angles (deg): 90.00 90.00 90.00
Fractional positions:
Sr 0.5000 0.0000 0.0000
Ag 0.0000 0.0000 0.5000
Ag 0.0000 0.5000 0.0000
Dy 0.5000 0.5000 0.5000

=====

# 12
# YSc3Co2

YSc3Co2 after structural relaxation (GGA-PBE, Alexandria).

total energy = -81.25 eV per cell
volume = 234 Å³/cell

a b c (Å): 4.6576 8.5168 7.5674
angles (deg): 124.19 90.00 105.87
Fractional positions:
Y 0.8695 0.7389 0.9539
Y 0.1305 0.2611 0.0461
Sc 0.3158 0.6317 0.6119
Sc 0.9299 0.8598 0.5863
Sc 0.6285 0.2571 0.7446
Sc 0.3715 0.7429 0.2554
Sc 0.0701 0.1402 0.4137
Sc 0.6842 0.3683 0.3881
Co 0.4995 0.9991 0.8441
Co 0.5005 0.0009 0.1559
Co 0.7720 0.5440 0.1811
Co 0.2280 0.4560 0.8189